Entry 1:
{
  "formula": "Dy3Ga2Ni9",
  "functional": "PBE",
  "state": "optimized geometry",
  "crystal_system": "orthorhombic",
  "m_tot_mub_per_fu": 0.000,
  "dos_at_fermi_per_ev_cell": 12.09,
  "delta_e_f_ev_per_atom": -0.389,
  "space_group": "Immm (71)",
  "lattice": [[-1.991, 4.340, 6.087], [1.991, -4.340, 6.087], [1.991, 4.340, -6.087]],
  "species": ["Dy", "Dy", "Dy", "Ga", "Ga", "Ni", "Ni", "Ni", "Ni", "Ni", "Ni", "Ni", "Ni", "Ni"],
  "frac_coords": [[0.000, 0.000, 0.000], [0.303, 0.303, 0.000], [0.697, 0.697, 0.000], [0.286, 0.500, 0.786], [0.714, 0.500, 0.214], [0.031, 0.680, 0.351], [0.158, 0.881, 0.277], [0.329, 0.680, 0.649], [0.395, 0.119, 0.277], [0.500, 0.000, 0.500], [0.605, 0.881, 0.723], [0.671, 0.320, 0.351], [0.842, 0.119, 0.723], [0.969, 0.320, 0.649]]
}

***

Entry 2:
{
  "formula": "Dy12Ga6Ni",
  "functional": "PBE",
  "state": "optimized geometry",
  "crystal_system": "trigonal",
  "m_tot_mub_per_fu": 0.000,
  "dos_at_fermi_per_ev_cell": 22.03,
  "delta_e_f_ev_per_atom": -0.210,
  "space_group": "R-3 (148)",
  "lattice": [[6.373, 3.680, 3.952], [-6.373, 3.680, 3.952], [0.000, -7.359, 3.952]],
  "species": ["Dy", "Dy", "Dy", "Dy", "Dy", "Dy", "Dy", "Dy", "Dy", "Dy", "Dy", "Dy", "Ga", "Ga", "Ga", "Ga", "Ga", "Ga", "Ni"],
  "frac_coords": [[0.038, 0.686, 0.932], [0.068, 0.962, 0.314], [0.182, 0.430, 0.571], [0.314, 0.068, 0.962], [0.429, 0.818, 0.570], [0.430, 0.571, 0.182], [0.570, 0.429, 0.818], [0.571, 0.182, 0.430], [0.686, 0.932, 0.038], [0.818, 0.570, 0.429], [0.932, 0.038, 0.686], [0.962, 0.314, 0.068], [0.134, 0.622, 0.302], [0.302, 0.134, 0.622], [0.378, 0.698, 0.866], [0.622, 0.302, 0.134], [0.698, 0.866, 0.378], [0.866, 0.378, 0.698], [0.000, 0.000, 0.000]]
}

***

Entry 3:
{
  "formula": "Dy2Ga2Ni3",
  "functional": "PBE",
  "state": "optimized geometry",
  "crystal_system": "monoclinic",
  "m_tot_mub_per_fu": 0.000,
  "dos_at_fermi_per_ev_cell": 5.16,
  "delta_e_f_ev_per_atom": -0.528,
  "space_group": "C2/m (12)",
  "lattice": [[5.249, -1.872, 0.000], [5.249, 1.872, 0.000], [-2.706, 0.000, 6.101]],
  "species": ["Dy", "Dy", "Ga", "Ga", "Ni", "Ni", "Ni"],
  "frac_coords": [[0.124, 0.124, 0.263], [0.876, 0.876, 0.737], [0.156, 0.156, 0.742], [0.844, 0.844, 0.258], [0.391, 0.391, 0.066], [0.500, 0.500, 0.500], [0.609, 0.609, 0.934]]
}

***

Entry 4:
{
  "formula": "Dy4GaNi",
  "functional": "PBE",
  "state": "optimized geometry",
  "e_above_lowest_polymorph_mev_per_atom": 108.5,
  "crystal_system": "orthorhombic",
  "m_tot_mub_per_fu": 0.000,
  "dos_at_fermi_per_ev_cell": 14.07,
  "delta_e_f_ev_per_atom": -0.202,
  "space_group": "Cmc2_1 (36)",
  "lattice": [[2.520, -10.037, 0.000], [2.520, 10.037, 0.000], [0.000, 0.000, 6.360]],
  "species": ["Dy", "Dy", "Dy", "Dy", "Dy", "Dy", "Dy", "Dy", "Ga", "Ga", "Ni", "Ni"],
  "frac_coords": [[0.050, 0.950, 0.500], [0.195, 0.805, 0.253], [0.195, 0.805, 0.749], [0.402, 0.598, 0.502], [0.598, 0.402, 0.002], [0.805, 0.195, 0.249], [0.805, 0.195, 0.753], [0.950, 0.050, 0.000], [0.343, 0.657, 0.001], [0.657, 0.343, 0.501], [0.082, 0.918, 0.001], [0.918, 0.082, 0.501]]
}

***

Entry 5:
{
  "formula": "DyGaNi5",
  "functional": "PBE",
  "state": "optimized geometry",
  "crystal_system": "orthorhombic",
  "m_tot_mub_per_fu": 0.000,
  "dos_at_fermi_per_ev_cell": 29.39,
  "delta_e_f_ev_per_atom": -0.398,
  "space_group": "Pnma (62)",
  "lattice": [[7.872, 0.000, 0.000], [0.000, 4.817, 0.000], [0.000, 0.000, 9.964]],
  "species": ["Dy", "Dy", "Dy", "Dy", "Ga", "Ga", "Ga", "Ga", "Ni", "Ni", "Ni", "Ni", "Ni", "Ni", "Ni", "Ni", "Ni", "Ni", "Ni", "Ni", "Ni", "Ni", "Ni", "Ni", "Ni", "Ni", "Ni", "Ni"],
  "frac_coords": [[0.247, 0.250, 0.059], [0.253, 0.750, 0.559], [0.747, 0.250, 0.441], [0.753, 0.750, 0.941], [0.143, 0.750, 0.858], [0.357, 0.250, 0.358], [0.643, 0.750, 0.642], [0.857, 0.250, 0.142], [0.054, 0.750, 0.093], [0.066, 0.005, 0.306], [0.066, 0.495, 0.306], [0.095, 0.250, 0.517], [0.186, 0.250, 0.751], [0.314, 0.750, 0.251], [0.405, 0.750, 0.017], [0.434, 0.505, 0.806], [0.434, 0.995, 0.806], [0.446, 0.250, 0.593], [0.554, 0.750, 0.407], [0.566, 0.005, 0.194], [0.566, 0.495, 0.194], [0.595, 0.250, 0.983], [0.686, 0.250, 0.749], [0.814, 0.750, 0.249], [0.905, 0.750, 0.483], [0.934, 0.505, 0.694], [0.934, 0.995, 0.694], [0.946, 0.250, 0.907]]
}

***

Entry 6:
{
  "formula": "Dy2Ga12Ni",
  "functional": "PBE",
  "state": "optimized geometry",
  "crystal_system": "tetragonal",
  "m_tot_mub_per_fu": 0.000,
  "dos_at_fermi_per_ev_cell": 9.64,
  "delta_e_f_ev_per_atom": -0.355,
  "space_group": "P4/nbm (125)",
  "lattice": [[6.038, 0.000, 0.000], [0.000, 6.038, 0.000], [0.000, 0.000, 15.277]],
  "species": ["Dy", "Dy", "Dy", "Dy", "Ga", "Ga", "Ga", "Ga", "Ga", "Ga", "Ga", "Ga", "Ga", "Ga", "Ga", "Ga", "Ga", "Ga", "Ga", "Ga", "Ga", "Ga", "Ga", "Ga", "Ga", "Ga", "Ga", "Ga", "Ni", "Ni"],
  "frac_coords": [[0.250, 0.750, 0.241], [0.250, 0.750, 0.759], [0.750, 0.250, 0.241], [0.750, 0.250, 0.759], [0.000, 0.000, 0.085], [0.000, 0.000, 0.915], [0.000, 0.500, 0.085], [0.000, 0.500, 0.915], [0.084, 0.584, 0.430], [0.084, 0.916, 0.570], [0.250, 0.250, 0.185], [0.250, 0.250, 0.344], [0.250, 0.250, 0.656], [0.250, 0.250, 0.815], [0.416, 0.584, 0.570], [0.416, 0.916, 0.430], [0.500, 0.000, 0.085], [0.500, 0.000, 0.915], [0.500, 0.500, 0.085], [0.500, 0.500, 0.915], [0.584, 0.084, 0.570], [0.584, 0.416, 0.430], [0.750, 0.750, 0.185], [0.750, 0.750, 0.344], [0.750, 0.750, 0.656], [0.750, 0.750, 0.815], [0.916, 0.084, 0.430], [0.916, 0.416, 0.570], [0.250, 0.750, 0.000], [0.750, 0.250, 0.000]]
}